8
Lattice="2.529 1.460 8.277 -2.529 1.460 8.277 0.000 -2.920 8.277" Properties=species:S:1:pos:R:3 comment="Na3PmAu4 (PBE, optimized geometry)" dos_at_fermi_per_ev_atom=0.34 spacegroup="R-3m (166)" ef_ev_per_atom=-0.46 pbc="T T T"
Na 0.000 0.000 0.000
Na 0.000 0.000 6.368
Na 0.000 0.000 18.462
Pm 0.000 0.000 12.415
Au 0.000 0.000 3.160
Au 0.000 0.000 9.426
Au 0.000 0.000 15.404
Au 0.000 0.000 21.670


18
Lattice="9.365 0.000 0.000 0.000 9.365 0.000 0.000 0.000 5.954" Properties=species:S:1:pos:R:3 comment="NaPm4Au4 (PBE, optimized geometry)" dos_at_fermi_per_ev_atom=0.78 spacegroup="P4_2/n (86)" ef_ev_per_atom=-0.52 pbc="T T T"
Na 2.341 2.341 1.488
Na 7.024 7.024 4.465
Pm 0.582 6.225 0.934
Pm 1.543 8.783 3.911
Pm 3.139 5.264 3.911
Pm 4.101 7.822 0.934
Pm 5.264 1.543 5.019
Pm 6.225 4.101 2.042
Pm 7.822 0.582 2.042
Pm 8.783 3.139 5.019
Au 0.272 5.938 3.900
Au 1.255 9.092 0.923
Au 3.427 4.955 0.923
Au 4.410 8.109 3.900
Au 4.955 1.255 2.053
Au 5.938 4.410 5.030
Au 8.109 0.272 5.030
Au 9.092 3.427 2.053


12
Lattice="6.303 -2.657 0.000 6.303 2.657 0.000 -5.630 0.000 9.111" Properties=species:S:1:pos:R:3 comment="NaPm4Au7 (PBE, optimized geometry)" dos_at_fermi_per_ev_atom=0.69 spacegroup="C2/m (12)" ef_ev_per_atom=-0.59 pbc="T T T"
Na 0.000 0.000 0.000
Pm -0.522 0.000 6.057
Pm 4.003 0.000 2.012
Pm 2.973 0.000 7.099
Pm 7.497 0.000 3.054
Au -0.856 0.000 3.020
Au -2.573 0.000 8.278
Au 1.977 0.000 4.283
Au 6.303 0.000 0.000
Au 4.999 0.000 4.828
Au 9.548 0.000 0.833
Au 7.832 0.000 6.091


6
Lattice="4.893 -1.918 0.000 4.893 1.918 0.000 -2.679 0.000 6.892" Properties=species:S:1:pos:R:3 comment="NaPmAu4 (PBE, optimized geometry)" dos_at_fermi_per_ev_atom=0.40 spacegroup="C2/m (12)" ef_ev_per_atom=-0.49 pbc="T T T"
Na 0.000 0.000 0.000
Pm -1.339 0.000 3.446
Au 2.800 0.000 1.121
Au 1.479 0.000 4.685
Au 5.628 0.000 2.207
Au 4.307 0.000 5.771


6
Lattice="0.000 3.991 3.991 3.991 0.000 3.991 3.991 3.991 0.000" Properties=species:S:1:pos:R:3 comment="NaPmAu4 (PBE, optimized geometry)" dos_at_fermi_per_ev_atom=1.10 spacegroup="F-43m (216)" ef_ev_per_atom=-0.46 pbc="T T T"
Na 0.000 0.000 0.000
Pm 1.995 1.995 1.995
Au 4.993 2.989 2.989
Au 2.989 4.993 2.989
Au 2.989 2.989 4.993
Au 4.993 4.993 4.993


12
Lattice="5.137 0.000 0.000 0.000 6.960 0.000 -1.453 0.000 8.494" Properties=species:S:1:pos:R:3 comment="NaPmAu4 (PBE, optimized geometry)" dos_at_fermi_per_ev_atom=0.23 spacegroup="P2_1/m (11)" ef_ev_per_atom=-0.42 pbc="T T T"
Na 0.508 1.740 1.667
Na 3.176 5.220 6.827
Pm 0.559 1.740 5.892
Pm 3.125 5.220 2.602
Au 0.597 5.220 1.074
Au 0.553 3.822 3.774
Au 0.553 6.618 3.774
Au 2.569 0.000 0.000
Au 2.569 3.480 0.000
Au 3.131 0.342 4.720
Au 3.131 3.138 4.720
Au 3.087 1.740 7.420


8
Lattice="2.595 1.498 8.495 -2.595 1.498 8.495 0.000 -2.996 8.495" Properties=species:S:1:pos:R:3 comment="NaPm2PrAu4 (PBE, optimized geometry)" dos_at_fermi_per_ev_atom=0.70 spacegroup="R-3m (166)" ef_ev_per_atom=-0.68 pbc="T T T"
Na 0.000 0.000 0.000
Pm 0.000 0.000 6.543
Pm 0.000 0.000 18.942
Pr 0.000 0.000 12.743
Au 0.000 0.000 3.355
Au 0.000 0.000 9.659
Au 0.000 0.000 15.826
Au 0.000 0.000 22.130


8
Lattice="2.579 1.489 8.389 -2.579 1.489 8.389 0.000 -2.978 8.389" Properties=species:S:1:pos:R:3 comment="NaPm2PuAu4 (PBE, optimized geometry)" dos_at_fermi_per_ev_atom=1.52 spacegroup="R-3m (166)" ef_ev_per_atom=-0.59 pbc="T T T"
Na 0.000 0.000 0.000
Pm 0.000 0.000 6.402
Pm 0.000 0.000 18.764
Pu 0.000 0.000 12.583
Au 0.000 0.000 3.263
Au 0.000 0.000 9.529
Au 0.000 0.000 15.637
Au 0.000 0.000 21.903


10
Lattice="6.429 0.000 0.000 0.000 5.189 0.000 -0.126 0.000 7.704" Properties=species:S:1:pos:R:3 comment="NaPmAuS2 (PBE, optimized geometry)" e_form_raw_mev_per_atom=-1065 dos_at_fermi_per_ev_atom=0.52 spacegroup="P2/c (13)" pbc="T T T"
Na -0.032 0.053 1.926
Na -0.095 5.136 5.778
Pm 3.120 2.588 5.778
Pm 3.183 2.601 1.926
Au 3.215 0.000 0.000
Au 3.152 0.000 3.852
S 1.313 1.616 7.681
S 1.376 3.573 3.829
S 4.927 1.616 3.875
S 4.990 3.573 0.023


4
Lattice="0.000 3.721 3.721 3.721 0.000 3.721 3.721 3.721 0.000" Properties=species:S:1:pos:R:3 comment="NaPmSbAu (PBE, optimized geometry)" e_form_raw_mev_per_atom=-686 dos_at_fermi_per_ev_atom=0.20 spacegroup="F-43m (216)" pbc="T T T"
Na 0.000 0.000 0.000
Pm 3.721 3.721 3.721
Sb 1.861 1.861 1.861
Au 5.582 5.582 5.582


10
Lattice="6.966 0.000 0.000 0.000 5.023 0.000 -0.856 0.000 7.906" Properties=species:S:1:pos:R:3 comment="NaPmAuSe2 (PBE, optimized geometry)" e_form_raw_mev_per_atom=-1019 dos_at_fermi_per_ev_atom=0.48 spacegroup="P2/c (13)" pbc="T T T"
Na -0.214 0.436 1.977
Na -0.642 4.587 5.930
Pm 2.841 2.476 5.930
Pm 3.269 2.547 1.977
Au 3.483 0.000 0.000
Au 3.055 0.000 3.953
Se 0.661 1.646 7.724
Se 1.089 3.377 3.771
Se 5.020 1.646 4.136
Se 5.448 3.377 0.183


6
Lattice="4.293 0.000 0.000 -2.146 3.718 0.000 0.000 0.000 8.112" Properties=species:S:1:pos:R:3 comment="NaPmSi2Au2 (PBE, optimized geometry)" e_form_raw_mev_per_atom=-465 dos_at_fermi_per_ev_atom=0.64 spacegroup="P-3m1 (164)" pbc="T T T"
Na 0.000 0.000 0.000
Pm 0.000 0.000 4.056
Si 0.000 2.479 2.099
Si 2.146 1.239 6.013
Au 0.000 2.479 6.144
Au 2.146 1.239 1.969